Entry from the Alexandria database: a relaxed LaCd3Bi crystal (PBE-GGA).

Computed properties:
Calculated formation energy ... 0.777 eV/atom
ΔE to the lowest computed polymorph ... 198 kJ/mol of formula units
M_tot ... 0.09 μB per atom
Symmetry ... No. 221

Cell and atoms, written as extended XYZ:
```
5
Lattice="5.951 0.000 0.000 0.000 5.951 0.000 0.000 0.000 5.951" Properties=species:S:1:pos:R:3 pbc="T T T"
La 0.000 0.000 0.000
Cd 0.000 0.000 2.975
Cd 0.000 2.975 0.000
Cd 2.975 0.000 0.000
Bi 2.975 2.975 2.975
```